[1]
Compound: CoSnMoPt
Source: OQMD
Functional: PBE-GGA
Structure: relaxed

Cell lengths 6.2960, 6.2960, 6.2960 Å; angles 90.00, 90.00, 90.00 degrees
With the nearest neighbours (Å) after each atom.
Fractional positions:
Co  0.0000  0.0000  0.0000  4 Sn 2.73, 4 Pt 2.73
Co  0.0000  0.5000  0.5000  4 Sn 2.73, 4 Pt 2.73
Co  0.5000  0.0000  0.5000  4 Sn 2.73, 4 Pt 2.73
Co  0.5000  0.5000  0.0000  4 Sn 2.73, 4 Pt 2.73
Sn  0.2500  0.2500  0.7500  4 Mo 2.73, 4 Co 2.73
Sn  0.2500  0.7500  0.2500  4 Mo 2.73, 4 Co 2.73
Sn  0.7500  0.2500  0.2500  4 Mo 2.73, 4 Co 2.73
Sn  0.7500  0.7500  0.7500  4 Co 2.73, 4 Mo 2.73
Mo  0.0000  0.0000  0.5000  4 Sn 2.73, 4 Pt 2.73
Mo  0.0000  0.5000  0.0000  4 Pt 2.73, 4 Sn 2.73
Mo  0.5000  0.0000  0.0000  4 Pt 2.73, 4 Sn 2.73
Mo  0.5000  0.5000  0.5000  4 Pt 2.73, 4 Sn 2.73
Pt  0.2500  0.2500  0.2500  4 Mo 2.73, 4 Co 2.73
Pt  0.2500  0.7500  0.7500  4 Mo 2.73, 4 Co 2.73
Pt  0.7500  0.2500  0.7500  4 Mo 2.73, 4 Co 2.73
Pt  0.7500  0.7500  0.2500  4 Mo 2.73, 4 Co 2.73

volume	15.6	A^3/atom
energy above the most stable polymorph in this dataset	0.0000	eV per atom
space group	F-43m
total magnetization	0.19	μB/cell

***

[2]
Compound: NaDy2
Source: OQMD
Functional: PBE-GGA
Structure: relaxed

Cell lengths 6.6565, 6.6565, 6.6565 Å; angles 60.00, 60.00, 60.00 degrees
With the nearest neighbours (Å) after each atom.
Fractional positions:
Na  0.1250  0.1250  0.1250  12 Dy 3.90, 4 Na 4.08
Na  0.8750  0.8750  0.8750  12 Dy 3.90, 4 Na 4.08
Dy  0.0000  0.5000  0.5000  6 Dy 3.33
Dy  0.5000  0.0000  0.5000  6 Dy 3.33
Dy  0.5000  0.5000  0.0000  6 Dy 3.33
Dy  0.5000  0.5000  0.5000  6 Dy 3.33

volume	34.8	A^3/atom
space group	Fd-3m
E_tot	-3.055	eV/atom
total magnetization	0.35	μB/cell

***

[3]
Compound: BaCd2GaPb
Source: OQMD
Functional: PBE-GGA
Structure: relaxed

Cell lengths 4.9185, 4.9185, 12.0224 Å; angles 90.00, 90.00, 90.00 degrees
With the nearest neighbours (Å) after each atom.
Fractional positions:
Ba  0.2500  0.2500  0.2344  8 Cd 3.71-3.74, 4 Ga 3.75, 4 Pb 4.03
Ba  0.7500  0.7500  0.7656  8 Cd 3.71-3.74, 4 Ga 3.75, 4 Pb 4.03
Cd  0.2500  0.2500  0.6576  1 Ga 2.69
Cd  0.2500  0.7500  0.0000  4 Ga 2.84
Cd  0.7500  0.2500  0.0000  4 Ga 2.84
Cd  0.7500  0.7500  0.3424  1 Ga 2.69
Ga  0.2500  0.2500  0.8815  5 Cd 2.69-2.84
Ga  0.7500  0.7500  0.1185  5 Cd 2.69-2.84
Pb  0.2500  0.7500  0.5000  4 Cd 3.10
Pb  0.7500  0.2500  0.5000  4 Cd 3.10

volume	29.1	A^3/atom
space group	P4/nmm
E_tot	-2.431	eV/atom

***

[4]
Compound: DyH9C5N2O8
Source: OQMD
Functional: PBE-GGA
Structure: relaxed

Cell lengths 9.7538, 9.7538, 8.3113 Å; angles 90.00, 90.00, 140.49 degrees
With the nearest neighbours (Å) after each atom.
Fractional positions:
Dy  0.1425  0.8575  0.7500  8 O 2.26-2.39
Dy  0.8575  0.1425  0.2500  8 O 2.26-2.39
H  0.0817  0.5033  0.9429  1 C 1.11
H  0.1683  0.3551  0.5975  1 N 1.03
H  0.2471  0.2471  0.0000  1 C 1.11
H  0.3146  0.6854  0.2500  1 C 1.11
H  0.3321  0.3449  0.6725  1 N 1.03
H  0.3449  0.3321  0.3275  1 N 1.03
H  0.3454  0.6546  0.7500  1 C 1.09
H  0.3551  0.1683  0.4025  1 N 1.03
H  0.4967  0.9183  0.5571  1 C 1.11
H  0.5033  0.0817  0.0571  1 C 1.11
H  0.6449  0.8317  0.9025  1 N 1.03
H  0.6546  0.3454  0.2500  1 C 1.09
H  0.6551  0.6679  0.8275  1 N 1.03
H  0.6679  0.6551  0.1725  1 N 1.03
H  0.6854  0.3146  0.7500  1 C 1.11
H  0.7529  0.7529  0.5000  1 C 1.11
H  0.8317  0.6449  0.0975  1 N 1.03
H  0.9183  0.4967  0.4429  1 C 1.11
C  0.0126  0.5253  0.0286  1 H 1.11
C  0.0792  0.0792  0.0000  1 H 1.11
C  0.3748  0.6252  0.2500  1 H 1.11
C  0.4050  0.5950  0.7500  1 H 1.09
C  0.4747  0.9874  0.4714  1 H 1.11
C  0.5253  0.0126  0.9714  1 H 1.11
C  0.5950  0.4050  0.2500  1 H 1.09
C  0.6252  0.3748  0.7500  1 H 1.11
C  0.9208  0.9208  0.5000  1 H 1.11
C  0.9874  0.4747  0.5286  1 H 1.11
N  0.2969  0.4207  0.6653  2 H 1.03
N  0.4207  0.2969  0.3347  2 H 1.03
N  0.5793  0.7031  0.8347  2 H 1.03
N  0.7031  0.5793  0.1653  2 H 1.03
O  0.0103  0.6481  0.9865  1 C 1.26
O  0.0374  0.9346  0.9320  1 C 1.26
O  0.0606  0.5741  0.6613  1 C 1.26
O  0.0654  0.9626  0.5680  1 C 1.26
O  0.2403  0.4260  0.2255  1 C 1.27
O  0.3519  0.9897  0.5135  1 C 1.26
O  0.4260  0.2403  0.7745  1 C 1.27
O  0.4259  0.9394  0.8387  1 C 1.26
O  0.5741  0.0606  0.3387  1 C 1.26
O  0.5740  0.7597  0.2745  1 C 1.27
O  0.6481  0.0103  0.0135  1 C 1.26
O  0.7597  0.5740  0.7255  1 C 1.27
O  0.9346  0.0374  0.0680  1 C 1.26
O  0.9394  0.4259  0.1613  1 C 1.26
O  0.9626  0.0654  0.4320  1 C 1.26
O  0.9897  0.3519  0.4865  1 C 1.26

volume	10.1	A^3/atom
space group	C222_1
E_tot	-6.508	eV/atom
total magnetization	0.01	μB/cell

***

[5]
Compound: HoTlB
Source: OQMD
Functional: PBE-GGA
Structure: relaxed

Cell lengths 6.2149, 6.2149, 6.2149 Å; angles 90.00, 90.00, 90.00 degrees
With the nearest neighbours (Å) after each atom.
Fractional positions:
Ho  0.0000  0.0000  0.0000  4 B 2.69
Ho  0.0000  0.5000  0.5000  4 B 2.69
Ho  0.5000  0.0000  0.5000  4 B 2.69
Ho  0.5000  0.5000  0.0000  4 B 2.69
Tl  0.0000  0.0000  0.5000  4 B 2.69
Tl  0.0000  0.5000  0.0000  4 B 2.69
Tl  0.5000  0.0000  0.0000  4 B 2.69
Tl  0.5000  0.5000  0.5000  4 B 2.69
B  0.2500  0.2500  0.2500  4 Tl 2.69, 4 Ho 2.69
B  0.2500  0.7500  0.7500  4 Tl 2.69, 4 Ho 2.69
B  0.7500  0.2500  0.7500  4 Tl 2.69, 4 Ho 2.69
B  0.7500  0.7500  0.2500  4 Tl 2.69, 4 Ho 2.69

volume	20.0	A^3/atom
energy above the most stable polymorph in this dataset	0.0000	eV per atom
space group	F-43m
total magnetization	0.02	μB/cell

***

[6]
Compound: SnPd2Pb
Source: OQMD
Functional: PBE-GGA
Structure: relaxed

Cell lengths 6.3316, 4.0148, 6.4693 Å; angles 90.00, 90.21, 90.00 degrees
With the nearest neighbours (Å) after each atom.
Fractional positions:
Sn  0.1906  0.2500  0.4082  6 Pd 2.70-2.81
Sn  0.8094  0.7500  0.5918  6 Pd 2.70-2.81
Pd  0.0035  0.2500  0.8012  3 Sn 2.71-2.81, 3 Pb 2.78-2.86
Pd  0.4790  0.7500  0.3279  3 Sn 2.70-2.76, 3 Pb 2.82-2.98, 2 Pd 3.01
Pd  0.5210  0.2500  0.6721  3 Sn 2.70-2.76, 3 Pb 2.82-2.98, 2 Pd 3.01
Pd  0.9965  0.7500  0.1988  3 Sn 2.71-2.81, 3 Pb 2.78-2.86
Pb  0.3098  0.7500  0.8982  6 Pd 2.78-2.98
Pb  0.6902  0.2500  0.1018  6 Pd 2.78-2.98

volume	20.6	A^3/atom
energy above the most stable polymorph in this dataset	0.0008	eV per atom
space group	P2_1/m

***

[7]
Compound: LaAlZn2In
Source: OQMD
Functional: PBE-GGA
Structure: relaxed

Cell lengths 4.3514, 4.3514, 11.3123 Å; angles 90.00, 90.00, 90.00 degrees
With the nearest neighbours (Å) after each atom.
Fractional positions:
La  0.0000  0.0000  0.0000  8 Zn 3.31, 4 In 3.57, 4 Al 3.57
La  0.5000  0.5000  0.5000  8 Zn 3.31, 4 In 3.57, 4 Al 3.57
Al  0.0000  0.5000  0.7500  4 Zn 2.71
Al  0.5000  0.0000  0.2500  4 Zn 2.71
Zn  0.0000  0.0000  0.3922  1 Zn 2.44, 2 In 2.71, 2 Al 2.71
Zn  0.0000  0.0000  0.6078  1 Zn 2.44, 2 In 2.71, 2 Al 2.71
Zn  0.5000  0.5000  0.1078  1 Zn 2.44, 2 In 2.71, 2 Al 2.71
Zn  0.5000  0.5000  0.8922  1 Zn 2.44, 2 In 2.71, 2 Al 2.71
In  0.0000  0.5000  0.2500  4 Zn 2.71
In  0.5000  0.0000  0.7500  4 Zn 2.71

volume	21.4	A^3/atom
space group	I-4m2
E_tot	-3.202	eV/atom
total magnetization	0.00	μB/cell

***

[8]
Compound: ZrCuSi
Source: OQMD
Functional: PBE-GGA
Structure: relaxed

Cell lengths 3.7553, 3.7553, 13.3913 Å; angles 90.00, 90.00, 90.00 degrees
With the nearest neighbours (Å) after each atom.
Fractional positions:
Zr  0.0000  0.0000  0.1710  5 Si 2.73-2.77, 4 Cu 2.96
Zr  0.0000  0.0000  0.8290  5 Si 2.73-2.77, 4 Cu 2.96
Zr  0.5000  0.5000  0.3290  5 Si 2.73-2.77, 4 Cu 2.96
Zr  0.5000  0.5000  0.6710  5 Si 2.73-2.77, 4 Cu 2.96
Cu  0.0000  0.5000  0.0000  4 Si 2.49, 4 Cu 2.66
Cu  0.0000  0.5000  0.5000  4 Si 2.49, 4 Cu 2.66
Cu  0.5000  0.0000  0.0000  4 Si 2.49, 4 Cu 2.66
Cu  0.5000  0.0000  0.5000  4 Si 2.49, 4 Cu 2.66
Si  0.0000  0.0000  0.3778  4 Cu 2.49, 5 Zr 2.73-2.77
Si  0.0000  0.0000  0.6222  4 Cu 2.49, 5 Zr 2.73-2.77
Si  0.5000  0.5000  0.1222  4 Cu 2.49, 5 Zr 2.73-2.77
Si  0.5000  0.5000  0.8778  4 Cu 2.49, 5 Zr 2.73-2.77

volume	15.7	A^3/atom
space group	I4/mmm
E_tot	-6.565	eV/atom
total magnetization	0.01	μB/cell

***

[9]
Compound: CoNiHgB
Source: OQMD
Functional: PBE-GGA
Structure: relaxed

Cell lengths 5.7864, 5.7864, 5.7864 Å; angles 90.00, 90.00, 90.00 degrees
With the nearest neighbours (Å) after each atom.
Fractional positions:
Co  0.0000  0.0000  0.0000  4 Ni 2.51, 4 B 2.51
Co  0.0000  0.5000  0.5000  4 Ni 2.51, 4 B 2.51
Co  0.5000  0.0000  0.5000  4 Ni 2.51, 4 B 2.51
Co  0.5000  0.5000  0.0000  4 Ni 2.51, 4 B 2.51
Ni  0.2500  0.2500  0.2500  4 Hg 2.51, 4 Co 2.51
Ni  0.2500  0.7500  0.7500  4 Hg 2.51, 4 Co 2.51
Ni  0.7500  0.2500  0.7500  4 Hg 2.51, 4 Co 2.51
Ni  0.7500  0.7500  0.2500  4 Hg 2.51, 4 Co 2.51
Hg  0.0000  0.0000  0.5000  4 Ni 2.51, 4 B 2.51
Hg  0.0000  0.5000  0.0000  4 Ni 2.51, 4 B 2.51
Hg  0.5000  0.0000  0.0000  4 Ni 2.51, 4 B 2.51
Hg  0.5000  0.5000  0.5000  4 Ni 2.51, 4 B 2.51
B  0.2500  0.2500  0.7500  4 Co 2.51, 4 Hg 2.51
B  0.2500  0.7500  0.2500  4 Hg 2.51, 4 Co 2.51
B  0.7500  0.2500  0.2500  4 Hg 2.51, 4 Co 2.51
B  0.7500  0.7500  0.7500  4 Co 2.51, 4 Hg 2.51

volume	12.1	A^3/atom
energy above the most stable polymorph in this dataset	0.0676	eV per atom
space group	F-43m
total magnetization	4.08	μB/cell

***

[10]
Compound: SiSn2Hg
Source: OQMD
Functional: PBE-GGA
Structure: relaxed

Cell lengths 7.2785, 7.2785, 7.2785 Å; angles 90.00, 90.00, 90.00 degrees
With the nearest neighbours (Å) after each atom.
Fractional positions:
Si  0.0000  0.0000  0.0000  4 Sn 3.15, 4 Hg 3.15
Si  0.0000  0.5000  0.5000  4 Sn 3.15, 4 Hg 3.15
Si  0.5000  0.0000  0.5000  4 Sn 3.15, 4 Hg 3.15
Si  0.5000  0.5000  0.0000  4 Sn 3.15, 4 Hg 3.15
Sn  0.0000  0.0000  0.5000  4 Hg 3.15, 4 Sn 3.15
Sn  0.0000  0.5000  0.0000  4 Hg 3.15, 4 Sn 3.15
Sn  0.2500  0.2500  0.7500  4 Sn 3.15, 4 Si 3.15
Sn  0.2500  0.7500  0.2500  4 Sn 3.15, 4 Si 3.15
Sn  0.5000  0.0000  0.0000  4 Hg 3.15, 4 Sn 3.15
Sn  0.5000  0.5000  0.5000  4 Hg 3.15, 4 Sn 3.15
Sn  0.7500  0.2500  0.2500  4 Sn 3.15, 4 Si 3.15
Sn  0.7500  0.7500  0.7500  4 Si 3.15, 4 Sn 3.15
Hg  0.2500  0.2500  0.2500  4 Sn 3.15, 4 Si 3.15
Hg  0.2500  0.7500  0.7500  4 Sn 3.15, 4 Si 3.15
Hg  0.7500  0.2500  0.7500  4 Sn 3.15, 4 Si 3.15
Hg  0.7500  0.7500  0.2500  4 Sn 3.15, 4 Si 3.15

volume	24.1	A^3/atom
space group	F-43m
E_tot	-3.067	eV/atom

***

[11]
Compound: NdScW
Source: OQMD
Functional: PBE-GGA
Structure: relaxed

Cell lengths 6.6986, 6.6986, 6.6986 Å; angles 90.00, 90.00, 90.00 degrees
With the nearest neighbours (Å) after each atom.
Fractional positions:
Nd  0.0000  0.0000  0.0000  4 W 2.90, 4 Sc 2.90
Nd  0.0000  0.5000  0.5000  4 W 2.90, 4 Sc 2.90
Nd  0.5000  0.0000  0.5000  4 W 2.90, 4 Sc 2.90
Nd  0.5000  0.5000  0.0000  4 W 2.90, 4 Sc 2.90
Sc  0.2500  0.2500  0.7500  4 Nd 2.90
Sc  0.2500  0.7500  0.2500  4 Nd 2.90
Sc  0.7500  0.2500  0.2500  4 Nd 2.90
Sc  0.7500  0.7500  0.7500  4 Nd 2.90
W  0.2500  0.2500  0.2500  4 Nd 2.90
W  0.2500  0.7500  0.7500  4 Nd 2.90
W  0.7500  0.2500  0.7500  4 Nd 2.90
W  0.7500  0.7500  0.2500  4 Nd 2.90

volume	25.0	A^3/atom
formation enthalpy at 0 K	4.5	eV/f.u.
energy above the most stable polymorph in this dataset	0.6375	eV per atom
space group	F-43m
total magnetization	0.02	μB/cell

***

[12]
Compound: PrHoAsO
Source: OQMD
Functional: PBE-GGA
Structure: relaxed

Cell lengths 4.3013, 4.3013, 9.2382 Å; angles 90.00, 90.00, 90.00 degrees
With the nearest neighbours (Å) after each atom.
Fractional positions:
Pr  0.2500  0.7500  0.0000  4 As 2.98, 4 Pr 3.04
Pr  0.7500  0.2500  0.0000  4 As 2.98, 4 Pr 3.04
Ho  0.2500  0.2500  0.4059  4 O 2.32
Ho  0.7500  0.7500  0.5941  4 O 2.32
As  0.2500  0.2500  0.7771  4 Pr 2.98
As  0.7500  0.7500  0.2229  4 Pr 2.98
O  0.2500  0.7500  0.5000  4 Ho 2.32
O  0.7500  0.2500  0.5000  4 Ho 2.32

volume	21.4	A^3/atom
energy above the most stable polymorph in this dataset	0.1977	eV per atom
space group	P4/nmm
total magnetization	0.16	μB/cell

***

Copy entry 5 word for word.
Compound: HoTlB
Source: OQMD
Functional: PBE-GGA
Structure: relaxed

Cell lengths 6.2149, 6.2149, 6.2149 Å; angles 90.00, 90.00, 90.00 degrees
With the nearest neighbours (Å) after each atom.
Fractional positions:
Ho  0.0000  0.0000  0.0000  4 B 2.69
Ho  0.0000  0.5000  0.5000  4 B 2.69
Ho  0.5000  0.0000  0.5000  4 B 2.69
Ho  0.5000  0.5000  0.0000  4 B 2.69
Tl  0.0000  0.0000  0.5000  4 B 2.69
Tl  0.0000  0.5000  0.0000  4 B 2.69
Tl  0.5000  0.0000  0.0000  4 B 2.69
Tl  0.5000  0.5000  0.5000  4 B 2.69
B  0.2500  0.2500  0.2500  4 Tl 2.69, 4 Ho 2.69
B  0.2500  0.7500  0.7500  4 Tl 2.69, 4 Ho 2.69
B  0.7500  0.2500  0.7500  4 Tl 2.69, 4 Ho 2.69
B  0.7500  0.7500  0.2500  4 Tl 2.69, 4 Ho 2.69

volume	20.0	A^3/atom
energy above the most stable polymorph in this dataset	0.0000	eV per atom
space group	F-43m
total magnetization	0.02	μB/cell

***

Repeat the fifth record exactly.
Compound: HoTlB
Source: OQMD
Functional: PBE-GGA
Structure: relaxed

Cell lengths 6.2149, 6.2149, 6.2149 Å; angles 90.00, 90.00, 90.00 degrees
With the nearest neighbours (Å) after each atom.
Fractional positions:
Ho  0.0000  0.0000  0.0000  4 B 2.69
Ho  0.0000  0.5000  0.5000  4 B 2.69
Ho  0.5000  0.0000  0.5000  4 B 2.69
Ho  0.5000  0.5000  0.0000  4 B 2.69
Tl  0.0000  0.0000  0.5000  4 B 2.69
Tl  0.0000  0.5000  0.0000  4 B 2.69
Tl  0.5000  0.0000  0.0000  4 B 2.69
Tl  0.5000  0.5000  0.5000  4 B 2.69
B  0.2500  0.2500  0.2500  4 Tl 2.69, 4 Ho 2.69
B  0.2500  0.7500  0.7500  4 Tl 2.69, 4 Ho 2.69
B  0.7500  0.2500  0.7500  4 Tl 2.69, 4 Ho 2.69
B  0.7500  0.7500  0.2500  4 Tl 2.69, 4 Ho 2.69

volume	20.0	A^3/atom
energy above the most stable polymorph in this dataset	0.0000	eV per atom
space group	F-43m
total magnetization	0.02	μB/cell

***

> Which of these has the highest volume?

NaDy2

***

Repeat the eighth record exactly.
Compound: ZrCuSi
Source: OQMD
Functional: PBE-GGA
Structure: relaxed

Cell lengths 3.7553, 3.7553, 13.3913 Å; angles 90.00, 90.00, 90.00 degrees
With the nearest neighbours (Å) after each atom.
Fractional positions:
Zr  0.0000  0.0000  0.1710  5 Si 2.73-2.77, 4 Cu 2.96
Zr  0.0000  0.0000  0.8290  5 Si 2.73-2.77, 4 Cu 2.96
Zr  0.5000  0.5000  0.3290  5 Si 2.73-2.77, 4 Cu 2.96
Zr  0.5000  0.5000  0.6710  5 Si 2.73-2.77, 4 Cu 2.96
Cu  0.0000  0.5000  0.0000  4 Si 2.49, 4 Cu 2.66
Cu  0.0000  0.5000  0.5000  4 Si 2.49, 4 Cu 2.66
Cu  0.5000  0.0000  0.0000  4 Si 2.49, 4 Cu 2.66
Cu  0.5000  0.0000  0.5000  4 Si 2.49, 4 Cu 2.66
Si  0.0000  0.0000  0.3778  4 Cu 2.49, 5 Zr 2.73-2.77
Si  0.0000  0.0000  0.6222  4 Cu 2.49, 5 Zr 2.73-2.77
Si  0.5000  0.5000  0.1222  4 Cu 2.49, 5 Zr 2.73-2.77
Si  0.5000  0.5000  0.8778  4 Cu 2.49, 5 Zr 2.73-2.77

volume	15.7	A^3/atom
space group	I4/mmm
E_tot	-6.565	eV/atom
total magnetization	0.01	μB/cell